Li2V2O5F2: optimized geometry, PBE with a Hubbard U.

Cell: 5.660 6.086 10.062 Å, 105.24 86.28 113.58°
Sites, in units of the cell vectors:
Li1 0.922 0.189 0.398
Li2 0.111 0.267 0.087
Li3 0.889 0.733 0.913
Li4 0.078 0.811 0.602
V1 0.596 0.244 0.091
V2 0.516 0.393 0.607
V3 0.484 0.607 0.393
V4 0.404 0.756 0.909
O1 0.706 0.976 0.005
O2 0.728 0.267 0.567
O3 0.421 0.387 0.219
O4 0.298 0.319 0.461
O5 0.745 0.452 0.005
O6 0.255 0.548 0.995
O7 0.702 0.681 0.539
O8 0.579 0.613 0.781
O9 0.272 0.733 0.433
O10 0.294 0.024 0.995
F1 0.852 0.303 0.230
F2 0.250 0.154 0.677
F3 0.750 0.846 0.323
F4 0.148 0.697 0.770

Computed properties:
Final energy ... -6.448 eV per atom
Crystal system ... triclinic